This record from Alexandria via LeMat-Bulk describes a relaxed structure of TaCdPd3. The functional is PBE-GGA.

Calculated values
Energy of formation from the pure elements   1.35 eV per atom
Polymorph energy (0 for the lowest one)   58.9 kJ/mol of atoms

a b c (Å): 4.7992 4.7992 4.7992
angles (deg): 90.00 90.00 90.00
Space group Pm-3m (No. 221)
Asymmetric unit:
Ta  0.0000  0.0000  0.0000 (multiplicity 1)
Cd  0.5000  0.5000  0.5000 (multiplicity 1)
Pd  0.0000  0.5000  0.5000 (multiplicity 3)